DFT (meta-GGA SCAN) results for a PBEsol-optimized structure of LaCuAsBr2.

```
data_LaCuAsBr2
_symmetry_space_group_name_H-M 'P 1'
_symmetry_Int_Tables_number 1
_cell_length_a 5.649
_cell_length_b 5.649
_cell_length_c 5.976
_cell_angle_alpha 90.00
_cell_angle_beta 90.00
_cell_angle_gamma 90.00
loop_
_symmetry_equiv_pos_as_xyz
'x,y,z'
loop_
_atom_site_label
_atom_site_type_symbol
_atom_site_fract_x
_atom_site_fract_y
_atom_site_fract_z
As1 As 0.000 0.000 0.500
Cu1 Cu 0.500 0.500 0.500
Br1 Br 0.000 0.500 0.000
Br2 Br 0.500 0.000 0.000
La1 La 0.000 0.000 0.000
```

Summary:
formation energy from raw total energies: -0.261 eV per atom
crystal system: tetragonal
electronic total energy: -23.74 eV/atom


DFT (meta-GGA SCAN) results for a PBEsol-optimized structure of CuAs2OsBr.

```
data_CuAs2OsBr
_symmetry_space_group_name_H-M 'P 1'
_symmetry_Int_Tables_number 1
_cell_length_a 4.475
_cell_length_b 4.475
_cell_length_c 4.701
_cell_angle_alpha 90.00
_cell_angle_beta 90.00
_cell_angle_gamma 90.00
loop_
_symmetry_equiv_pos_as_xyz
'x,y,z'
loop_
_atom_site_label
_atom_site_type_symbol
_atom_site_fract_x
_atom_site_fract_y
_atom_site_fract_z
As1 As 0.000 0.500 0.000
As2 As 0.500 0.000 0.000
Os1 Os 0.500 0.500 0.500
Cu1 Cu 0.000 0.000 0.000
Br1 Br 0.000 0.000 0.500
```

Summary:
formation energy from raw total energies: 1.493 eV per atom
crystal system: tetragonal
electronic total energy: -27.89 eV/atom


DFT (meta-GGA SCAN) results for a PBEsol-optimized structure of RbCuAs2Br.

```
data_RbCuAs2Br
_symmetry_space_group_name_H-M 'P 1'
_symmetry_Int_Tables_number 1
_cell_length_a 4.574
_cell_length_b 4.574
_cell_length_c 6.799
_cell_angle_alpha 90.00
_cell_angle_beta 90.00
_cell_angle_gamma 90.00
loop_
_symmetry_equiv_pos_as_xyz
'x,y,z'
loop_
_atom_site_label
_atom_site_type_symbol
_atom_site_fract_x
_atom_site_fract_y
_atom_site_fract_z
As1 As 0.000 0.500 0.000
As2 As 0.500 0.000 0.000
Cu1 Cu 0.000 0.000 0.000
Br1 Br 0.000 0.000 0.500
Rb1 Rb 0.500 0.500 0.500
```

Summary:
formation energy from raw total energies: -0.164 eV per atom
crystal system: tetragonal
electronic total energy: -19.32 eV/atom


DFT (meta-GGA SCAN) results for a PBEsol-optimized structure of CuAsSe2Br.

```
data_CuAsSe2Br
_symmetry_space_group_name_H-M 'P 1'
_symmetry_Int_Tables_number 1
_cell_length_a 4.979
_cell_length_b 4.979
_cell_length_c 5.077
_cell_angle_alpha 90.00
_cell_angle_beta 90.00
_cell_angle_gamma 90.00
loop_
_symmetry_equiv_pos_as_xyz
'x,y,z'
loop_
_atom_site_label
_atom_site_type_symbol
_atom_site_fract_x
_atom_site_fract_y
_atom_site_fract_z
As1 As 0.000 0.000 0.000
Cu1 Cu 0.500 0.500 0.500
Se1 Se 0.000 0.500 0.000
Se2 Se 0.500 0.000 0.000
Br1 Br 0.000 0.000 0.500
```

Summary:
formation energy from raw total energies: 0.620 eV per atom
crystal system: tetragonal
electronic total energy: -18.38 eV/atom


DFT (meta-GGA SCAN) results for a PBEsol-optimized structure of AsBr3F6.

```
data_AsBr3F6
_symmetry_space_group_name_H-M 'P 1'
_symmetry_Int_Tables_number 1
_cell_length_a 5.604
_cell_length_b 7.666
_cell_length_c 9.707
_cell_angle_alpha 88.73
_cell_angle_beta 81.54
_cell_angle_gamma 81.86
loop_
_symmetry_equiv_pos_as_xyz
'x,y,z'
loop_
_atom_site_label
_atom_site_type_symbol
_atom_site_fract_x
_atom_site_fract_y
_atom_site_fract_z
As1 As 0.428 0.777 0.806
As2 As 0.572 0.223 0.194
Br1 Br 0.192 0.801 0.221
Br2 Br 0.808 0.199 0.779
Br3 Br 0.919 0.616 0.179
Br4 Br 0.081 0.384 0.821
Br5 Br 0.200 0.775 0.458
Br6 Br 0.800 0.225 0.542
F1 F 0.182 0.773 0.708
F2 F 0.818 0.227 0.292
F3 F 0.209 0.870 0.944
F4 F 0.791 0.130 0.056
F5 F 0.462 0.990 0.741
F6 F 0.538 0.010 0.259
F7 F 0.381 0.563 0.871
F8 F 0.619 0.437 0.129
F9 F 0.631 0.681 0.666
F10 F 0.369 0.319 0.334
F11 F 0.659 0.780 0.908
F12 F 0.341 0.220 0.092
```

Summary:
formation energy from raw total energies: -1.456 eV per atom
crystal system: triclinic
electronic total energy: -11.44 eV/atom


DFT (meta-GGA SCAN) results for a PBEsol-optimized structure of HgAsBr2F.

```
data_HgAsBr2F
_symmetry_space_group_name_H-M 'P 1'
_symmetry_Int_Tables_number 1
_cell_length_a 5.272
_cell_length_b 5.272
_cell_length_c 5.295
_cell_angle_alpha 90.00
_cell_angle_beta 90.00
_cell_angle_gamma 90.00
loop_
_symmetry_equiv_pos_as_xyz
'x,y,z'
loop_
_atom_site_label
_atom_site_type_symbol
_atom_site_fract_x
_atom_site_fract_y
_atom_site_fract_z
As1 As 0.000 0.000 0.500
Hg1 Hg 0.000 0.000 0.000
Br1 Br 0.000 0.500 0.000
Br2 Br 0.500 0.000 0.000
F1 F 0.500 0.500 0.500
```

Summary:
formation energy from raw total energies: 0.423 eV per atom
crystal system: tetragonal
electronic total energy: -25.74 eV/atom


DFT (meta-GGA SCAN) results for a PBEsol-optimized structure of HgAs2BrF.

```
data_HgAs2BrF
_symmetry_space_group_name_H-M 'P 1'
_symmetry_Int_Tables_number 1
_cell_length_a 5.142
_cell_length_b 5.142
_cell_length_c 5.313
_cell_angle_alpha 90.00
_cell_angle_beta 90.00
_cell_angle_gamma 90.00
loop_
_symmetry_equiv_pos_as_xyz
'x,y,z'
loop_
_atom_site_label
_atom_site_type_symbol
_atom_site_fract_x
_atom_site_fract_y
_atom_site_fract_z
As1 As 0.000 0.500 0.000
As2 As 0.500 0.000 0.000
Hg1 Hg 0.000 0.000 0.000
Br1 Br 0.000 0.000 0.500
F1 F 0.500 0.500 0.500
```

Summary:
formation energy from raw total energies: 0.719 eV per atom
crystal system: tetragonal
electronic total energy: -25.59 eV/atom


DFT (meta-GGA SCAN) results for a PBEsol-optimized structure of MnAsBr2F.

```
data_MnAsBr2F
_symmetry_space_group_name_H-M 'P 1'
_symmetry_Int_Tables_number 1
_cell_length_a 3.856
_cell_length_b 5.355
_cell_length_c 5.355
_cell_angle_alpha 90.00
_cell_angle_beta 90.00
_cell_angle_gamma 90.00
loop_
_symmetry_equiv_pos_as_xyz
'x,y,z'
loop_
_atom_site_label
_atom_site_type_symbol
_atom_site_fract_x
_atom_site_fract_y
_atom_site_fract_z
As1 As 0.500 0.000 0.000
Mn1 Mn 0.500 0.500 0.500
Br1 Br 0.000 0.000 0.500
Br2 Br 0.000 0.500 0.000
F1 F 0.000 0.000 0.000
```

Summary:
formation energy from raw total energies: -0.099 eV per atom
crystal system: tetragonal
electronic total energy: -16.28 eV/atom


electronic total energy of number 3 (RbCuAs2Br)? -19.32 eV/atom